--- 1 ---
{
  "formula": "YReBr",
  "functional": "PBE-GGA",
  "state": "optimized geometry",
  "magmom_total_mub_per_cell": 2.229,
  "cell": [[-1.624, -2.805, -3.322], [-1.566, -4.229, 1.095], [-4.541, -0.927, -0.239]],
  "species": ["Y", "Re", "Br"],
  "fractional_positions": [[0.500, 0.500, 0.500], [0.000, 0.000, 0.000], [0.750, 0.750, 0.750]]
}


--- 2 ---
{
  "formula": "YReBr",
  "functional": "PBE-GGA",
  "state": "optimized geometry",
  "magmom_total_mub_per_cell": 0.846,
  "cell": [[7.707, -0.104, 0.086], [6.952, 2.972, 0.119], [0.755, -0.574, 3.023]],
  "species": ["Y", "Re", "Br"],
  "fractional_positions": [[0.667, 0.667, 0.333], [0.308, 0.308, 0.692], [0.025, 0.025, 0.975]]
}


Comparing the structures above, 2 comes out on top by 51.5 kJ/mol of atoms.